[1]
Material: BaCr3
Method: DFT, PBE
State: relaxed

Computed properties:
The value obtained for the total magnetic moment is 1.5 μB per formula unit. As for the energy relative to the elements: 983 meV per atom. For the total energy, the calculation gives -6.715 eV/atom. The calculation puts the distance to the lowest polymorph of the same formula at 238 meV/atom.

abc: 3.1291 4.2976 6.4891
angles: 90.00 90.00 90.00
Last column: nearest neighbours and their distance in Å.
Fractional coordinates of all 4 atoms:
Cr: 0.5000 0.5000 0.6778  4 Cr 2.19-2.38
Cr: 0.5000 0.0000 0.5185  2 Cr 2.38
Cr: 0.0000 0.5000 0.4426  2 Cr 2.19
Ba: 0.0000 0.0000 0.0278  2 Ba 3.13, 6 Cr 3.44-3.50

=====

[2]
Material: Li2CrPd8
Method: DFT, PBE
State: relaxed

Computed properties:
The value obtained for the total magnetic moment is 3.4 μB per formula unit. As for the energy relative to the elements: -52 meV per atom. For the total energy, the calculation gives -5.052 eV/atom.

abc: 4.1034 6.4700 6.4700
angles: 105.53 89.93 89.93
Last column: nearest neighbours and their distance in Å.
Fractional coordinates of all 11 atoms:
Pd: 0.9992 0.0426 0.3093  1 Li 2.54, 7 Pd 2.67-2.78, 2 Cr 2.83
Li: 0.0000 0.3816 0.6184  4 Pd 2.42-2.54, 1 Li 2.44
Pd: 0.9992 0.3093 0.0426  1 Li 2.54, 7 Pd 2.67-2.78, 2 Cr 2.83
Pd: 0.5011 0.6714 0.6714  1 Cr 2.57, 7 Pd 2.68-2.85, 4 Li 2.73-2.74
Cr: 0.5000 0.0000 0.0000  12 Pd 2.57-2.83
Pd: 0.5000 0.2561 0.7439  2 Li 2.42, 1 Cr 2.64
Pd: 0.0008 0.6907 0.9574  1 Li 2.54, 7 Pd 2.67-2.78, 2 Cr 2.83
Pd: 0.4989 0.3286 0.3286  1 Cr 2.57, 7 Pd 2.68-2.85, 4 Li 2.73-2.74
Li: 0.0000 0.6184 0.3816  4 Pd 2.42-2.54, 1 Li 2.44
Pd: 0.5000 0.7439 0.2561  2 Li 2.42, 1 Cr 2.64
Pd: 0.0008 0.9574 0.6907  1 Li 2.54, 7 Pd 2.67-2.78, 2 Cr 2.83

=====

[3]
Material: KAlPb2Br8
Method: DFT, PBE
State: relaxed

Computed properties:
For the formation energy from raw total energies, the calculation gives -1.05 eV/atom. The value obtained for the total magnetic moment is 0.0 μB per formula unit. For the total energy, the calculation gives -3.186 eV/atom.

abc: 7.0075 6.6524 9.0244
angles: 89.89 90.01 88.35
Last column: nearest neighbours and their distance in Å.
Fractional coordinates of all 12 atoms:
Pb: 0.5001 0.4995 0.7610  6 Br 2.97-3.20
Br: 0.8592 0.2246 0.7999  1 Al 2.52
Br: 0.8582 0.2235 0.1994  1 Al 2.52
Br: 0.6324 0.7305 0.4999  2 Pb 2.97, 1 K 3.18
Pb: 0.4999 0.5005 0.2390  6 Br 2.97-3.20
K: 0.0000 0.0000 0.5000  6 Br 3.18-3.23
Br: 0.3676 0.2695 0.5001  2 Pb 2.97, 1 K 3.18
Br: 0.3050 0.2154 0.0005  1 Al 2.61
Al: 0.0000 0.0000 0.0000  6 Br 2.52-2.61
Br: 0.1408 0.7754 0.2001  1 Al 2.52
Br: 0.1418 0.7765 0.8006  1 Al 2.52
Br: 0.6950 0.7846 0.9995  1 Al 2.61

=====

[4]
Material: BaCuRu2
Method: DFT, PBE
State: relaxed

Computed properties:
The value obtained for the total magnetic moment is 0.0 μB per formula unit. As for the energy relative to the elements: 476 meV per atom. For the total energy, the calculation gives -5.666 eV/atom. The calculation puts the distance to the lowest polymorph of the same formula at 273 meV/atom.

abc: 2.9724 3.5563 7.4844
angles: 90.00 90.00 90.00
Last column: nearest neighbours and their distance in Å.
Fractional coordinates of all 4 atoms:
Ba: 0.0000 0.0000 0.5029  2 Ba 2.97
Cu: 0.5000 0.5000 0.8230  5 Ru 2.55-2.71
Ru: 0.5000 0.5000 0.1631  1 Cu 2.55, 4 Ru 2.58
Ru: 0.0000 0.0000 0.0110  4 Ru 2.58, 4 Cu 2.71

=====

[5]
Material: LiMoSCl2
Method: DFT, PBE
State: relaxed

Computed properties:
For the formation energy from raw total energies, the calculation gives 0.14 eV/atom. The value obtained for the total magnetic moment is 3.0 μB per formula unit. For the total energy, the calculation gives -3.974 eV/atom. The calculation puts the distance to the lowest polymorph of the same formula at 703 meV/atom.

abc: 4.3726 4.3726 4.9441
angles: 90.00 90.00 90.00
Last column: nearest neighbours and their distance in Å.
Fractional coordinates of all 5 atoms:
S: 0.0000 0.0000 0.5000  2 Li 2.47
Li: 0.0000 0.0000 0.0000  4 Cl 2.19
Mo: 0.5000 0.5000 0.5000  4 S 3.09, 8 Cl 3.30
Cl: 0.5000 0.0000 0.0000  2 Li 2.19
Cl: 0.0000 0.5000 0.0000  2 Li 2.19

=====

[6]
Material: K4U3FeSe8
Method: DFT, PBE
State: relaxed

Computed properties:
For the formation energy from raw total energies, the calculation gives -1.07 eV/atom. The value obtained for the total magnetic moment is 10.9 μB per formula unit. For the total energy, the calculation gives -5.731 eV/atom.

abc: 8.3090 9.0840 8.3091
angles: 117.22 120.00 90.00
Last column: nearest neighbours and their distance in Å.
Fractional coordinates of all 16 atoms:
K: 0.0000 0.0000 0.5000  6 Se 3.28-3.31
U: 0.5000 0.5000 0.5000  6 Se 2.88-2.90
Se: 0.2287 0.6997 0.9710  1 Fe 2.80, 2 U 2.88
Se: 0.7423 0.6997 0.9710  1 Fe 2.80, 2 U 2.88
U: 0.0000 0.5000 0.5000  6 Se 2.88-2.90
Fe: 0.0000 0.5000 0.0000  6 Se 2.80
Se: 0.7368 0.7103 0.4736  3 U 2.90
Se: 0.2577 0.3003 0.0290  1 Fe 2.80, 2 U 2.88
K: 0.0000 0.0000 0.0000  6 Se 3.28-3.31
K: 0.5000 0.0000 0.5000  6 Se 3.28-3.31
Se: 0.7712 0.3002 0.5423  1 Fe 2.80, 2 U 2.88
K: 0.5000 0.0000 0.0000  6 Se 3.38
Se: 0.7713 0.3003 0.0290  1 Fe 2.80, 2 U 2.88
Se: 0.2288 0.6998 0.4577  1 Fe 2.80, 2 U 2.88
Se: 0.2632 0.2897 0.5264  3 U 2.90
U: 0.5000 0.5000 0.0000  6 Se 2.88-2.90

=====

[7]
Material: Ba8CuAg2
Method: DFT, PBE
State: relaxed

Computed properties:
The value obtained for the total magnetic moment is 0.0 μB per formula unit. As for the energy relative to the elements: -39 meV per atom. For the total energy, the calculation gives -2.328 eV/atom. The calculation puts the distance to the lowest polymorph of the same formula at 0 meV/atom.

abc: 5.8008 8.1316 11.1643
angles: 103.15 105.06 90.00
Last column: nearest neighbours and their distance in Å.
Fractional coordinates of all 11 atoms:
Ba: 0.0346 0.8021 0.0693  2 Cu 3.48, 1 Ag 3.53, 1 Ba 3.85
Ba: 0.6611 0.9726 0.3222  3 Ag 3.53-3.64, 1 Cu 3.53
Ba: 0.4111 0.5720 0.8222  1 Cu 3.56
Ba: 0.2117 0.3282 0.4234  3 Ag 3.42-3.69
Ba: 0.7883 0.6718 0.5766  3 Ag 3.42-3.69
Ag: 0.8100 0.2687 0.6200  7 Ba 3.42-3.69
Ag: 0.1900 0.7313 0.3800  7 Ba 3.42-3.69
Ba: 0.5889 0.4280 0.1778  1 Cu 3.56
Ba: 0.9654 0.1979 0.9307  2 Cu 3.48, 1 Ag 3.53, 1 Ba 3.85
Cu: 0.5000 0.0000 0.0000  8 Ba 3.48-3.56
Ba: 0.3389 0.0274 0.6778  3 Ag 3.53-3.64, 1 Cu 3.53

=====

[8]
Material: NaTl4Sb
Method: DFT, PBE
State: relaxed

Computed properties:
For the formation energy from raw total energies, the calculation gives -0.04 eV/atom. The value obtained for the total magnetic moment is 0.0 μB per formula unit. For the total energy, the calculation gives -2.523 eV/atom. The calculation puts the distance to the lowest polymorph of the same formula at 48 meV/atom.

abc: 5.4827 6.7886 10.8243
angles: 90.00 104.67 90.00
Last column: nearest neighbours and their distance in Å.
Fractional coordinates of all 12 atoms:
Tl: 0.4456 0.8938 0.8912  2 Sb 3.15-3.21, 3 Tl 3.19-3.44, 2 Na 3.51
Tl: 0.2620 0.6161 0.5240  3 Tl 3.11-3.38, 1 Sb 3.22
Tl: 0.9560 0.1970 0.9121  2 Sb 3.37, 4 Tl 3.44-3.68
Tl: 0.5544 0.3938 0.1088  2 Sb 3.15-3.21, 3 Tl 3.19-3.44, 2 Na 3.51
Tl: 0.3077 0.0941 0.6154  1 Sb 3.10, 4 Tl 3.11-3.38
Na: 0.8632 0.6936 0.7263  2 Sb 3.35, 5 Tl 3.50-3.64
Sb: 0.4045 0.4388 0.8089  6 Tl 3.10-3.37, 2 Na 3.35
Na: 0.1368 0.1936 0.2737  2 Sb 3.35, 5 Tl 3.50-3.64
Tl: 0.7380 0.1161 0.4760  3 Tl 3.11-3.38, 1 Sb 3.22
Sb: 0.5955 0.9388 0.1911  6 Tl 3.10-3.37, 2 Na 3.35
Tl: 0.0440 0.6970 0.0879  2 Sb 3.37, 4 Tl 3.44-3.68
Tl: 0.6923 0.5941 0.3846  1 Sb 3.10, 4 Tl 3.11-3.38

=====

[9]
Material: PmSm2HoS6
Method: DFT, PBE
State: relaxed

Computed properties:
For the formation energy from raw total energies, the calculation gives -2.03 eV/atom. The value obtained for the total magnetic moment is 0.0 μB per formula unit. For the total energy, the calculation gives -6.388 eV/atom.

abc: 7.0512 7.0513 7.4494
angles: 61.75 61.75 59.99
Last column: nearest neighbours and their distance in Å.
Fractional coordinates of all 10 atoms:
Sm: 0.5205 0.5204 0.4387  6 S 2.78-2.86
Pm: 0.8130 0.8131 0.5609  6 S 2.78-2.87
S: 0.9279 0.6080 0.2518  1 Ho 2.72, 2 Sm 2.78-2.86, 1 Pm 2.87
S: 0.6080 0.2124 0.2518  1 Ho 2.72, 2 Sm 2.78-2.86, 1 Pm 2.87
S: 0.1213 0.4150 0.7547  2 Sm 2.77-2.86, 1 Ho 2.77, 1 Pm 2.78
S: 0.4150 0.7090 0.7546  2 Sm 2.77-2.86, 1 Ho 2.77, 1 Pm 2.78
S: 0.7090 0.1213 0.7547  2 Sm 2.77-2.86, 1 Ho 2.77, 1 Pm 2.78
Sm: 0.0179 0.0179 0.9463  6 S 2.77-2.86
Ho: 0.3167 0.3166 0.0500  6 S 2.72-2.77
S: 0.2123 0.9278 0.2518  1 Ho 2.72, 2 Sm 2.78-2.86, 1 Pm 2.87

=====

> Number 2 is which compound?

Li2CrPd8

=====

> What is the total magnetic moment in the third record?

0.0 μB per formula unit

=====

> Which value of total magnetic moment does entry 9 give?

0.0 μB per formula unit

=====

Repeat the eighth record exactly.
Material: NaTl4Sb
Method: DFT, PBE
State: relaxed

Computed properties:
For the formation energy from raw total energies, the calculation gives -0.04 eV/atom. The value obtained for the total magnetic moment is 0.0 μB per formula unit. For the total energy, the calculation gives -2.523 eV/atom. The calculation puts the distance to the lowest polymorph of the same formula at 48 meV/atom.

abc: 5.4827 6.7886 10.8243
angles: 90.00 104.67 90.00
Last column: nearest neighbours and their distance in Å.
Fractional coordinates of all 12 atoms:
Tl: 0.4456 0.8938 0.8912  2 Sb 3.15-3.21, 3 Tl 3.19-3.44, 2 Na 3.51
Tl: 0.2620 0.6161 0.5240  3 Tl 3.11-3.38, 1 Sb 3.22
Tl: 0.9560 0.1970 0.9121  2 Sb 3.37, 4 Tl 3.44-3.68
Tl: 0.5544 0.3938 0.1088  2 Sb 3.15-3.21, 3 Tl 3.19-3.44, 2 Na 3.51
Tl: 0.3077 0.0941 0.6154  1 Sb 3.10, 4 Tl 3.11-3.38
Na: 0.8632 0.6936 0.7263  2 Sb 3.35, 5 Tl 3.50-3.64
Sb: 0.4045 0.4388 0.8089  6 Tl 3.10-3.37, 2 Na 3.35
Na: 0.1368 0.1936 0.2737  2 Sb 3.35, 5 Tl 3.50-3.64
Tl: 0.7380 0.1161 0.4760  3 Tl 3.11-3.38, 1 Sb 3.22
Sb: 0.5955 0.9388 0.1911  6 Tl 3.10-3.37, 2 Na 3.35
Tl: 0.0440 0.6970 0.0879  2 Sb 3.37, 4 Tl 3.44-3.68
Tl: 0.6923 0.5941 0.3846  1 Sb 3.10, 4 Tl 3.11-3.38